Entry from the Alexandria database: MgScCd after structural relaxation (PBE).

Unit cell a=4.870 b=4.870 c=4.870 alpha=60.00 beta=60.00 gamma=60.00
Atoms (fractional coordinates):
Cd (0.000, 0.000, 0.000)
Mg (0.500, 0.500, 0.500)
Sc (0.750, 0.750, 0.750)

Results
* total moment: 0.0 μB per formula unit
* theoretical density: 3.694 g cm⁻³
* space group: No. 216
* V: 81.7 Å³/cell
* energy of formation from the pure elements: 0.37 eV/atom